The following is a DFT calculation (PBE-GGA) of a relaxed CoSnGeAu crystal.

Calculated values
- calculated volume (Å³ per cell) = 70.9
- uncorrected energy (eV per atom) = -4.445

Cell lengths 4.6462, 4.6462, 4.6462 Å; angles 60.00, 60.00, 60.00 degrees
Closest atoms and distances in Å follow each position.
Sites, in units of the cell vectors:
Co  0.0000  0.0000  0.0000  4 Sn 2.85, 4 Ge 2.85
Sn  0.7500  0.7500  0.7500  4 Co 2.85, 4 Au 2.85
Ge  0.2500  0.2500  0.2500  4 Au 2.85, 4 Co 2.85
Au  0.5000  0.5000  0.5000  4 Sn 2.85, 4 Ge 2.85

The following is a DFT calculation (PBE-GGA) of a relaxed CoGeTe3Au crystal.

Calculated values
- calculated volume (Å³ per cell) = 285.5
- uncorrected energy (eV per atom) = -4.113

Cell lengths 7.1833, 7.1833, 10.8384 Å; angles 90.00, 90.00, 149.30 degrees
Closest atoms and distances in Å follow each position.
Sites, in units of the cell vectors:
Co  0.0000  0.0000  0.0000  6 Te 2.54-2.72
Co  0.0000  0.0000  0.5000  6 Te 2.54-2.72
Ge  0.3020  0.6980  0.7500  2 Au 2.56, 2 Te 2.80
Ge  0.6980  0.3020  0.2500  2 Au 2.56, 2 Te 2.80
Te  0.0207  0.9793  0.7500  2 Co 2.72, 2 Au 2.89
Te  0.3784  0.6216  0.5109  2 Co 2.54, 1 Ge 2.80
Te  0.3784  0.6216  0.9891  2 Co 2.54, 1 Ge 2.80
Te  0.6216  0.3784  0.0109  2 Co 2.54, 1 Ge 2.80
Te  0.6216  0.3784  0.4891  2 Co 2.54, 1 Ge 2.80
Te  0.9793  0.0207  0.2500  2 Co 2.72, 2 Au 2.89
Au  0.3221  0.6779  0.2500  2 Ge 2.56
Au  0.6779  0.3221  0.7500  2 Ge 2.56

The following is a DFT calculation (PBE-GGA) of a relaxed CoGeWAu crystal.

Calculated values
- calculated volume (Å³ per cell) = 60.0
- uncorrected energy (eV per atom) = -6.558

Cell lengths 4.3944, 4.3944, 4.3944 Å; angles 60.00, 60.00, 60.00 degrees
Closest atoms and distances in Å follow each position.
Sites, in units of the cell vectors:
Co  0.0000  0.0000  0.0000  4 Ge 2.69, 4 Au 2.69
Ge  0.7500  0.7500  0.7500  4 W 2.69, 4 Co 2.69
W  0.5000  0.5000  0.5000  4 Ge 2.69, 4 Au 2.69
Au  0.2500  0.2500  0.2500  4 W 2.69, 4 Co 2.69

The following is a DFT calculation (PBE-GGA) of a relaxed CoGeWAu crystal.

Calculated values
- calculated volume (Å³ per cell) = 61.3
- uncorrected energy (eV per atom) = -6.329

Cell lengths 4.4249, 4.4249, 4.4249 Å; angles 60.00, 60.00, 60.00 degrees
Closest atoms and distances in Å follow each position.
Sites, in units of the cell vectors:
Co  0.0000  0.0000  0.0000  4 Ge 2.71, 4 W 2.71
Ge  0.7500  0.7500  0.7500  4 Au 2.71, 4 Co 2.71
W  0.2500  0.2500  0.2500  4 Co 2.71, 4 Au 2.71
Au  0.5000  0.5000  0.5000  4 Ge 2.71, 4 W 2.71

The following is a DFT calculation (PBE-GGA) of a relaxed ZnCoGeAu crystal.

Calculated values
- calculated volume (Å³ per cell) = 59.4
- uncorrected energy (eV per atom) = -3.941

Cell lengths 4.3806, 4.3806, 4.3806 Å; angles 60.00, 60.00, 60.00 degrees
Closest atoms and distances in Å follow each position.
Sites, in units of the cell vectors:
Zn  0.0000  0.0000  0.0000  4 Co 2.68, 4 Au 2.68
Co  0.7500  0.7500  0.7500  4 Ge 2.68, 4 Zn 2.68
Ge  0.5000  0.5000  0.5000  4 Co 2.68, 4 Au 2.68
Au  0.2500  0.2500  0.2500  4 Ge 2.68, 4 Zn 2.68

The following is a DFT calculation (PBE-GGA) of a relaxed ZnCoGeAu crystal.

Calculated values
- calculated volume (Å³ per cell) = 60.0
- uncorrected energy (eV per atom) = -3.906

Cell lengths 4.3937, 4.3937, 4.3937 Å; angles 60.00, 60.00, 60.00 degrees
Closest atoms and distances in Å follow each position.
Sites, in units of the cell vectors:
Zn  0.0000  0.0000  0.0000  4 Ge 2.69, 4 Au 2.69
Co  0.5000  0.5000  0.5000  4 Ge 2.69, 4 Au 2.69
Ge  0.2500  0.2500  0.2500  4 Co 2.69, 4 Zn 2.69
Au  0.7500  0.7500  0.7500  4 Co 2.69, 4 Zn 2.69

The following is a DFT calculation (PBE-GGA) of a relaxed ZrCoGeAu crystal.

Calculated values
- calculated volume (Å³ per cell) = 66.9
- uncorrected energy (eV per atom) = -6.018

Cell lengths 4.5558, 4.5558, 4.5558 Å; angles 60.00, 60.00, 60.00 degrees
Closest atoms and distances in Å follow each position.
Sites, in units of the cell vectors:
Zr  0.0000  0.0000  0.0000  4 Co 2.79, 4 Au 2.79
Co  0.7500  0.7500  0.7500  4 Ge 2.79, 4 Zr 2.79
Ge  0.5000  0.5000  0.5000  4 Co 2.79, 4 Au 2.79
Au  0.2500  0.2500  0.2500  4 Zr 2.79, 4 Ge 2.79

The following is a DFT calculation (PBE-GGA) of a relaxed ZrCoGeAu crystal.

Calculated values
- calculated volume (Å³ per cell) = 65.5
- uncorrected energy (eV per atom) = -6.010

Cell lengths 4.5242, 4.5242, 4.5242 Å; angles 60.00, 60.00, 60.00 degrees
Closest atoms and distances in Å follow each position.
Sites, in units of the cell vectors:
Zr  0.0000  0.0000  0.0000  4 Ge 2.77, 4 Co 2.77
Co  0.2500  0.2500  0.2500  4 Zr 2.77, 4 Au 2.77
Ge  0.7500  0.7500  0.7500  4 Zr 2.77, 4 Au 2.77
Au  0.5000  0.5000  0.5000  4 Ge 2.77, 4 Co 2.77

The following is a DFT calculation (PBE-GGA) of a relaxed ZrCoGeAu crystal.

Calculated values
- calculated volume (Å³ per cell) = 66.4
- uncorrected energy (eV per atom) = -6.090

Cell lengths 4.5456, 4.5456, 4.5456 Å; angles 60.00, 60.00, 60.00 degrees
Closest atoms and distances in Å follow each position.
Sites, in units of the cell vectors:
Zr  0.0000  0.0000  0.0000  4 Ge 2.78, 4 Au 2.78
Co  0.5000  0.5000  0.5000  4 Ge 2.78, 4 Au 2.78
Ge  0.7500  0.7500  0.7500  4 Zr 2.78, 4 Co 2.78
Au  0.2500  0.2500  0.2500  4 Co 2.78, 4 Zr 2.78

The following is a DFT calculation (PBE-GGA) of a relaxed Na2CoH6Au crystal.

Calculated values
- calculated volume (Å³ per cell) = 88.2
- uncorrected energy (eV per atom) = -3.407

Cell lengths 4.9969, 4.9969, 4.9969 Å; angles 60.00, 60.00, 60.00 degrees
Closest atoms and distances in Å follow each position.
Sites, in units of the cell vectors:
Na  0.2500  0.2500  0.2500  12 H 2.50
Na  0.7500  0.7500  0.7500  12 H 2.50
Co  0.0000  0.0000  0.0000  6 H 1.61
H  0.2281  0.2281  0.7719  1 Co 1.61
H  0.2281  0.7719  0.2281  1 Co 1.61
H  0.2281  0.7719  0.7719  1 Co 1.61
H  0.7719  0.2281  0.2281  1 Co 1.61
H  0.7719  0.2281  0.7719  1 Co 1.61
H  0.7719  0.7719  0.2281  1 Co 1.61
Au  0.5000  0.5000  0.5000  6 H 1.92

The following is a DFT calculation (PBE-GGA) of a relaxed HfCoAu2 crystal.

Calculated values
- calculated volume (Å³ per cell) = 66.9
- uncorrected energy (eV per atom) = -6.110

Cell lengths 4.5577, 4.5577, 4.5577 Å; angles 60.00, 60.00, 60.00 degrees
Closest atoms and distances in Å follow each position.
Sites, in units of the cell vectors:
Hf  0.0000  0.0000  0.0000  4 Co 2.79, 4 Au 2.79
Co  0.2500  0.2500  0.2500  4 Hf 2.79, 4 Au 2.79
Au  0.5000  0.5000  0.5000  4 Co 2.79, 4 Au 2.79
Au  0.7500  0.7500  0.7500  4 Hf 2.79, 4 Au 2.79

The following is a DFT calculation (PBE-GGA) of a relaxed HfCoAu crystal.

Calculated values
- calculated volume (Å³ per cell) = 54.5
- uncorrected energy (eV per atom) = -6.896

Cell lengths 4.2552, 4.2552, 4.2552 Å; angles 60.00, 60.00, 60.00 degrees
Closest atoms and distances in Å follow each position.
Sites, in units of the cell vectors:
Hf  0.0000  0.0000  0.0000  4 Co 2.61
Co  0.7500  0.7500  0.7500  4 Au 2.61, 4 Hf 2.61
Au  0.5000  0.5000  0.5000  4 Co 2.61